No. 1
Entry from Alexandria: a geometry-optimized Nd3AlGe4 structure (PBE-GGA).

Cell: 8.4776 8.4776 8.4776 Å, 149.21 138.83 52.28°
Closest atoms and distances in Å follow each position.
Sites, in units of the cell vectors:
1 Nd 0.0000 0.0000 0.0000  8 Ge 3.20
2 Nd 0.3122 0.8122 0.5000  6 Ge 3.00-3.10
3 Nd 0.6878 0.1878 0.5000  6 Ge 3.00-3.10
4 Al 0.5000 0.5000 0.0000  4 Ge 2.59
5 Ge 0.0809 0.3744 0.7065  1 Ge 2.46, 1 Al 2.59
6 Ge 0.3320 0.6256 0.7065  1 Ge 2.46, 1 Al 2.59
7 Ge 0.6680 0.3744 0.2935  1 Ge 2.46, 1 Al 2.59
8 Ge 0.9191 0.6256 0.2935  1 Ge 2.46, 1 Al 2.59

Results
Magnetic moment in μB/atom: 0.0000
N(E_F) in states/eV per atom: 0.288
Formation enthalpy at 0 K in meV/atom: -612
E_tot in eV/atom: -5.1765

=====

No. 2
Entry from Alexandria: a geometry-optimized LiScHg4 structure (PBE-GGA).

Cell: 5.4056 5.4056 7.4069 Å, 110.25 110.25 39.79°
Closest atoms and distances in Å follow each position.
Sites, in units of the cell vectors:
1 Li 0.0000 0.0000 0.0000  10 Hg 3.00-3.20
2 Sc 0.0000 0.0000 0.5000  10 Hg 3.05-3.18
3 Hg 0.3367 0.3367 0.6746  2 Li 3.00, 3 Sc 3.06-3.18, 5 Hg 3.07-3.13
4 Hg 0.3388 0.3388 0.1628  3 Li 3.00-3.20, 5 Hg 3.04-3.10, 2 Sc 3.05
5 Hg 0.6612 0.6612 0.8372  3 Li 3.00-3.20, 5 Hg 3.04-3.10, 2 Sc 3.05
6 Hg 0.6633 0.6633 0.3254  2 Li 3.00, 3 Sc 3.06-3.18, 5 Hg 3.07-3.13

Results
Energy relative to the lowest polymorph listed for this composition in eV/atom: 0.005
Magnetic moment in μB/atom: 0.0000
N(E_F) in states/eV per atom: 0.410
Formation enthalpy at 0 K in meV/atom: -261
E_tot in eV/atom: -1.8363

=====

No. 3
Entry from Alexandria: a geometry-optimized NaMnBr2Cl structure (PBE-GGA).

Cell: 5.1655 5.1655 4.6102 Å, 90.00 90.00 90.00°
Closest atoms and distances in Å follow each position.
Sites, in units of the cell vectors:
1 Na 0.0000 0.0000 0.0000  8 Br 3.46, 4 Cl 3.65
2 Mn 0.5000 0.5000 0.5000  2 Cl 2.31
3 Br 0.0000 0.5000 0.5000  2 Mn 2.58
4 Br 0.5000 0.0000 0.5000  2 Mn 2.58
5 Cl 0.5000 0.5000 0.0000  2 Mn 2.31

Results
Energy relative to the lowest polymorph listed for this composition in eV/atom: 0.175
Magnetic moment in μB/atom: 0.9855
N(E_F) in states/eV per atom: 0.076
Formation energy without anion corrections in eV/f.u.: -4.88
E_tot in eV/atom: -4.1132

=====

No. 4
Entry from Alexandria: a geometry-optimized Cs8I4Cl3 structure (PBE-GGA).

Cell: 10.6854 10.6854 10.6796 Å, 119.95 119.95 90.02°
Closest atoms and distances in Å follow each position.
Sites, in units of the cell vectors:
1 Cs 0.2356 0.2356 0.9921  1 Cl 3.62, 4 I 3.78-3.94
2 Cs 0.2382 0.2382 0.4836  3 Cl 3.66-3.78, 2 I 3.83-3.90
3 Cs 0.2412 0.7588 0.0000  3 Cl 3.64-3.78, 3 I 3.78-3.91
4 Cs 0.2461 0.7539 0.5000  2 Cl 3.78, 3 I 3.78-3.84
5 Cs 0.7539 0.2461 0.5000  2 Cl 3.78, 3 I 3.78-3.84
6 Cs 0.7588 0.2412 0.0000  3 Cl 3.64-3.78, 3 I 3.78-3.91
7 Cs 0.7618 0.7618 0.5164  3 Cl 3.66-3.78, 2 I 3.83-3.90
8 Cs 0.7644 0.7644 0.0079  1 Cl 3.62, 4 I 3.78-3.94
9 I 0.0000 0.5000 0.0000  6 Cs 3.78
10 I 0.5000 0.0000 0.0000  6 Cs 3.78
11 I 0.5000 0.5000 0.0000  6 Cs 3.90-3.94
12 I 0.5000 0.5000 0.5000  6 Cs 3.83-3.84
13 Cl 0.0000 0.0000 0.0000  6 Cs 3.62-3.66
14 Cl 0.0000 0.5000 0.5000  6 Cs 3.78
15 Cl 0.5000 0.0000 0.5000  6 Cs 3.78

Results
Magnetic moment in μB/atom: 0.0612
N(E_F) in states/eV per atom: 0.176
Formation energy without anion corrections in eV/f.u.: -23.54
E_tot in eV/atom: -2.8071

=====

No. 5
Entry from Alexandria: a geometry-optimized Pm2Sm2HoEr2 structure (PBE-GGA).

Cell: 8.8218 8.8218 8.8218 Å, 37.69 37.69 37.69°
Closest atoms and distances in Å follow each position.
Sites, in units of the cell vectors:
1 Pm 0.1390 0.1390 0.1390  1 Ho 3.41, 3 Er 3.46, 3 Pm 3.56, 1 Sm 3.58
2 Pm 0.8610 0.8610 0.8610  1 Ho 3.41, 3 Er 3.46, 3 Pm 3.56, 1 Sm 3.58
3 Sm 0.2846 0.2846 0.2846  4 Er 3.48-3.54, 3 Ho 3.50, 1 Pm 3.58
4 Sm 0.7154 0.7154 0.7154  4 Er 3.48-3.54, 3 Ho 3.50, 1 Pm 3.58
5 Ho 0.0000 0.0000 0.0000  2 Pm 3.41, 6 Sm 3.50
6 Er 0.4286 0.4286 0.4286  3 Pm 3.46, 4 Sm 3.48-3.54, 1 Er 3.50
7 Er 0.5714 0.5714 0.5714  3 Pm 3.46, 4 Sm 3.48-3.54, 1 Er 3.50

Results
Magnetic moment in μB/atom: 0.0000
N(E_F) in states/eV per atom: 2.232
Formation enthalpy at 0 K in meV/atom: 131
E_tot in eV/atom: -4.5323

=====

No. 6
Entry from Alexandria: a geometry-optimized CoPd8Au2 structure (PBE-GGA).

Cell: 6.7032 6.7032 4.2350 Å, 90.00 90.00 106.13°
Closest atoms and distances in Å follow each position.
Sites, in units of the cell vectors:
1 Co 0.0000 0.0000 0.0000  4 Pd 2.46-2.61
2 Pd 0.0381 0.2944 0.5000  7 Pd 2.68-2.94, 2 Au 2.69-2.96, 2 Co 2.86
3 Pd 0.2300 0.7700 0.0000  1 Co 2.46, 2 Au 2.62, 4 Pd 2.73
4 Pd 0.2944 0.0381 0.5000  7 Pd 2.68-2.94, 2 Au 2.69-2.96, 2 Co 2.86
5 Pd 0.3235 0.3235 0.0000  1 Co 2.61, 5 Pd 2.82-2.84, 4 Au 2.88
6 Pd 0.6765 0.6765 0.0000  1 Co 2.61, 5 Pd 2.82-2.84, 4 Au 2.88
7 Pd 0.7056 0.9619 0.5000  7 Pd 2.68-2.94, 2 Au 2.69-2.96, 2 Co 2.86
8 Pd 0.7700 0.2300 0.0000  1 Co 2.46, 2 Au 2.62, 4 Pd 2.73
9 Pd 0.9619 0.7056 0.5000  7 Pd 2.68-2.94, 2 Au 2.69-2.96, 2 Co 2.86
10 Au 0.3743 0.6257 0.5000  8 Pd 2.62-2.88, 1 Au 2.69
11 Au 0.6257 0.3743 0.5000  8 Pd 2.62-2.88, 1 Au 2.69

Results
Magnetic moment in μB/atom: 0.3581
N(E_F) in states/eV per atom: 1.381
Formation enthalpy at 0 K in meV/atom: 175
E_tot in eV/atom: -4.8434

=====

No. 7
Entry from Alexandria: a geometry-optimized ReAgHg2 structure (PBE-GGA).

Cell: 9.8670 9.8670 9.8670 Å, 17.25 17.25 17.25°
Closest atoms and distances in Å follow each position.
Sites, in units of the cell vectors:
1 Re 0.0000 0.0000 0.0000  6 Hg 2.94, 6 Re 2.96
2 Ag 0.5000 0.5000 0.5000  6 Ag 2.96, 6 Hg 3.00
3 Hg 0.2514 0.2514 0.2514  3 Re 2.94, 6 Hg 2.96, 3 Ag 3.00
4 Hg 0.7486 0.7486 0.7486  3 Re 2.94, 6 Hg 2.96, 3 Ag 3.00

Results
Energy relative to the lowest polymorph listed for this composition in eV/atom: 0.000
Magnetic moment in μB/atom: 0.0000
N(E_F) in states/eV per atom: 0.613
Formation enthalpy at 0 K in meV/atom: 564
E_tot in eV/atom: -3.4118

=====

No. 8
Entry from Alexandria: a geometry-optimized MnSnMoP structure (PBE-GGA).

Cell: 3.4478 3.4478 6.7388 Å, 104.85 104.85 59.85°
Closest atoms and distances in Å follow each position.
Sites, in units of the cell vectors:
1 Mn 0.0000 0.0000 0.0000  3 P 2.14
2 Sn 0.2241 0.2241 0.6689  3 Mn 2.91-2.92, 3 Mo 2.94
3 Mo 0.4448 0.4448 0.3322  3 P 2.40
4 P 0.7085 0.7085 0.1238  3 Mn 2.14, 2 Mo 2.40

Results
Energy relative to the lowest polymorph listed for this composition in eV/atom: 0.147
Magnetic moment in μB/atom: 0.0000
N(E_F) in states/eV per atom: 0.356
Formation enthalpy at 0 K in meV/atom: -64
E_tot in eV/atom: -7.4173